Density functional theory data (GGA-PBE) for a geometry-optimized Nd2Ho2CI2Br2Cl structure.

a b c (Å): 9.5302 9.5302 8.2374
angles (deg): 100.64 100.64 23.80
With the nearest neighbours (Å) after each atom.
Sites, in units of the cell vectors:
Cl 0.5000 0.5000 0.5000  4 Nd 3.08
Ho 0.3695 0.3695 0.9374  1 C 2.39
Ho 0.6305 0.6305 0.0626  1 C 2.39
C 0.5000 0.5000 0.0000  2 Ho 2.39, 4 Nd 2.63
Nd 0.0033 0.0033 0.7887  2 C 2.63
Br 0.1710 0.1710 0.8404  2 Ho 2.88, 1 Nd 3.07
I 0.8316 0.8316 0.6538  2 Ho 3.03, 1 Nd 3.19
Nd 0.9967 0.9967 0.2113  2 C 2.63
Br 0.8290 0.8290 0.1596  2 Ho 2.88, 1 Nd 3.07
I 0.1684 0.1684 0.3462  2 Ho 3.03, 1 Nd 3.19

Summary:
Crystal system ... monoclinic
Density ... 6.05 g/cm³
Energy ... -4.954 eV per atom
Distance to the lowest polymorph of the same formula ... 0.0080 eV per atom

***

Density functional theory data (GGA-PBE) for a geometry-optimized Nd2Ho2CI2Br2Cl structure.

a b c (Å): 9.3639 9.3639 8.2115
angles (deg): 101.57 101.57 23.89
With the nearest neighbours (Å) after each atom.
Sites, in units of the cell vectors:
I 0.1632 0.1632 0.3684  1 Ho 3.06, 2 Nd 3.10
Br 0.8351 0.8351 0.1915  1 Ho 2.97, 2 Nd 2.98
I 0.8368 0.8368 0.6316  1 Ho 3.06, 2 Nd 3.10
Ho 0.0022 0.0022 0.7988  2 C 2.55
Br 0.1649 0.1649 0.8085  1 Ho 2.97, 2 Nd 2.98
Nd 0.3596 0.3596 0.9329  1 C 2.52
Cl 0.5000 0.5000 0.5000  4 Ho 3.12
Nd 0.6404 0.6404 0.0671  1 C 2.52
Ho 0.9978 0.9978 0.2012  2 C 2.55
C 0.5000 0.5000 0.0000  2 Nd 2.52, 4 Ho 2.55

Summary:
Crystal system ... monoclinic
Density ... 6.28 g/cm³
Energy ... -4.926 eV per atom
Distance to the lowest polymorph of the same formula ... 0.0361 eV per atom

***

Q: Which of these has the lowest distance to the lowest polymorph of the same formula?
A: number 1

***

Q: The highest distance to the lowest polymorph of the same formula belongs to which entry?
A: number 2

***

Q: energy of number 2 (Nd2Ho2CI2Br2Cl)?
A: -4.926 eV per atom

***

Q: What is the density in the second record?
A: 6.28 g/cm³